# 1
First-principles (SCAN) data for NiOs2Rh at its PBEsol-relaxed geometry, as listed in Alexandria.

Geometry as POSCAR:
```
NiOs2Rh
1.0
-1.868 1.868 3.737
1.868 -1.868 3.737
1.868 1.868 -3.737
Ni Os Rh
1 2 1
Cartesian
0.000 0.000 0.000
0.000 0.000 3.737
0.000 1.868 1.869
1.868 0.000 1.869
```

crystal system = tetragonal

=====

# 2
First-principles (SCAN) data for NiOs2Rh at its PBEsol-relaxed geometry, as listed in Alexandria.

Geometry as POSCAR:
```
NiOs2Rh
1.0
2.679 0.000 0.000
0.000 3.710 0.000
0.000 0.000 5.261
Ni Os Rh
1 2 1
Cartesian
0.000 0.000 0.000
0.000 0.000 2.588
1.340 1.855 1.294
1.340 1.855 3.998
```

crystal system = orthorhombic

=====

# 3
First-principles (SCAN) data for NiOs2Rh at its PBEsol-relaxed geometry, as listed in Alexandria.

Geometry as POSCAR:
```
NiOs2Rh
1.0
-1.356 2.136 4.599
1.356 -2.136 4.599
1.356 2.136 -4.599
Ni Os Rh
1 2 1
Cartesian
0.000 0.000 0.000
1.356 0.000 2.007
0.000 2.136 2.592
0.000 0.000 4.599
```

crystal system = orthorhombic

=====

| no. | E_form (eV/atom) | M_tot (μB per atom) |
| --- | --- | --- |
| 1 | 0.156 | 0.000 |
| 2 | 0.100 | 0.000 |
| 3 | 0.300 | 0.000 |